Computed, not measured: crystalline In3ReTe at its relaxed geometry at the GGA-PBE level of DFT.

Uncorrected formation energy (eV/atom): 1.669
Volume (Å³ per atom): 38.803
ρ (g/cm3): 5.63

Unit cell a=5.7891 b=5.7891 c=5.7891 alpha=90.00 beta=90.00 gamma=90.00
Space group Pm-3m (No. 221)
One atom of each set of equivalent atoms:
In (0.0000, 0.0000, 0.5000)
Re (0.5000, 0.5000, 0.5000)
Te (0.0000, 0.0000, 0.0000)



Computed, not measured: crystalline InRe4Te at its relaxed geometry at the GGA-PBE level of DFT.

Uncorrected formation energy (eV/atom): 0.765
Volume (Å³ per atom): 18.030
ρ (g/cm3): 15.15

Unit cell a=7.5637 b=7.5637 c=7.5637 alpha=90.00 beta=90.00 gamma=90.00
Space group F-43m (No. 216)
One atom of each set of equivalent atoms:
In (0.0000, 0.0000, 0.0000)
Re (0.1245, 0.1245, 0.6245)
Te (0.2500, 0.2500, 0.2500)



Computed, not measured: crystalline Th6In2Re at its relaxed geometry at the GGA-PBE level of DFT.

Volume (Å³ per atom): 29.269
ρ (g/cm3): 11.40
Energy of formation from the pure elements (eV/atom): -0.1637

Unit cell a=8.8587 b=8.8587 c=3.8757 alpha=90.00 beta=90.00 gamma=120.00
Space group P-62m (No. 189)
One atom of each set of equivalent atoms:
Th (0.0000, 0.2466, 0.0000)
Th (0.0000, 0.6113, 0.5000)
In (0.3333, 0.6667, 0.0000)
Re (0.0000, 0.0000, 0.5000)



Computed, not measured: crystalline Th5InRe2 at its relaxed geometry at the GGA-PBE level of DFT.

Volume (Å³ per atom): 27.771
ρ (g/cm3): 12.31
Energy of formation from the pure elements (eV/atom): -0.1354

Unit cell a=8.0305 b=8.0305 c=13.7799 alpha=90.00 beta=90.00 gamma=90.00
Space group I4/mcm (No. 140)
One atom of each set of equivalent atoms:
Th (0.0000, 0.0000, 0.0000)
Th (0.1578, 0.3422, 0.1341)
In (0.0000, 0.0000, 0.2500)
Re (0.1383, 0.3617, 0.5000)



Computed, not measured: crystalline Th3InRe at its relaxed geometry at the GGA-PBE level of DFT.

Volume (Å³ per atom): 30.749
ρ (g/cm3): 10.77
Energy of formation from the pure elements (eV/atom): 0.0103

Unit cell a=7.8655 b=14.5812 c=5.3621 alpha=90.00 beta=90.00 gamma=90.00
Space group Cmmm (No. 65)
One atom of each set of equivalent atoms:
Th (0.0000, 0.1282, 0.0000)
Th (0.1951, 0.5000, 0.5000)
Th (0.2500, 0.2500, 0.5000)
In (0.0000, 0.3702, 0.0000)
Re (0.0000, 0.1083, 0.5000)



Computed, not measured: crystalline Th3InRe at its relaxed geometry at the GGA-PBE level of DFT.

Volume (Å³ per atom): 28.647
ρ (g/cm3): 11.56
Energy of formation from the pure elements (eV/atom): -0.1180

Unit cell a=6.6351 b=10.2609 c=16.8309 alpha=90.00 beta=90.00 gamma=90.00
Space group Fmmm (No. 69)
One atom of each set of equivalent atoms:
Th (0.0000, 0.0000, 0.1942)
Th (0.0000, 0.1802, 0.3843)
In (0.2087, 0.0000, 0.0000)
Re (0.2500, 0.2500, 0.2500)



Computed, not measured: crystalline Th4InRe at its relaxed geometry at the GGA-PBE level of DFT.

Volume (Å³ per atom): 28.853
ρ (g/cm3): 11.79
Energy of formation from the pure elements (eV/atom): -0.1279

Unit cell a=7.5097 b=7.5097 c=6.1394 alpha=90.00 beta=90.00 gamma=90.00
Space group P4/mcc (No. 124)
One atom of each set of equivalent atoms:
Th (0.1403, 0.3176, 0.0000)
In (0.5000, 0.5000, 0.2500)
Re (0.0000, 0.0000, 0.2500)



Computed, not measured: crystalline TiInRe3 at its relaxed geometry at the GGA-PBE level of DFT.

Volume (Å³ per atom): 19.461
ρ (g/cm3): 12.31
Energy of formation from the pure elements (eV/atom): 1.7504

Unit cell a=4.5995 b=4.5995 c=4.5995 alpha=90.00 beta=90.00 gamma=90.00
Space group Pm-3m (No. 221)
One atom of each set of equivalent atoms:
Ti (0.0000, 0.0000, 0.0000)
In (0.5000, 0.5000, 0.5000)
Re (0.0000, 0.0000, 0.5000)



Computed, not measured: crystalline Ti2InRe at its relaxed geometry at the GGA-PBE level of DFT.

Volume (Å³ per atom): 17.077
ρ (g/cm3): 9.65
Energy of formation from the pure elements (eV/atom): -0.3392

Unit cell a=3.2148 b=3.2148 c=6.6094 alpha=90.00 beta=90.00 gamma=90.00
Space group P4/mmm (No. 123)
One atom of each set of equivalent atoms:
Ti (0.0000, 0.0000, 0.2173)
In (0.5000, 0.5000, 0.5000)
Re (0.5000, 0.5000, 0.0000)



Computed, not measured: crystalline TiIn2Re2 at its relaxed geometry at the GGA-PBE level of DFT.

Volume (Å³ per atom): 18.785
ρ (g/cm3): 11.49
Energy of formation from the pure elements (eV/atom): 0.6072

Unit cell a=7.9825 b=7.9825 c=2.9481 alpha=90.00 beta=90.00 gamma=90.00
Space group P4/mbm (No. 127)
One atom of each set of equivalent atoms:
Ti (0.0000, 0.0000, 0.0000)
In (0.1831, 0.3169, 0.0000)
Re (0.1090, 0.6090, 0.5000)



Computed, not measured: crystalline TiInRe3 at its relaxed geometry at the GGA-PBE level of DFT.

Volume (Å³ per atom): 21.740
ρ (g/cm3): 11.02
Energy of formation from the pure elements (eV/atom): 2.7304

Unit cell a=4.7725 b=4.7725 c=4.7725 alpha=90.00 beta=90.00 gamma=90.00
Space group Pm-3m (No. 221)
One atom of each set of equivalent atoms:
Ti (0.0000, 0.0000, 0.0000)
In (0.5000, 0.5000, 0.5000)
Re (0.0000, 0.5000, 0.5000)



Computed, not measured: crystalline Ti5InRe4 at its relaxed geometry at the GGA-PBE level of DFT.

Volume (Å³ per atom): 15.988
ρ (g/cm3): 11.41
Energy of formation from the pure elements (eV/atom): -0.3779

Unit cell a=3.1668 b=3.1668 c=15.9423 alpha=90.00 beta=90.00 gamma=90.00
Space group P4/mmm (No. 123)
One atom of each set of equivalent atoms:
Ti (0.0000, 0.0000, 0.0000)
Ti (0.0000, 0.0000, 0.1920)
Ti (0.0000, 0.0000, 0.3781)
In (0.5000, 0.5000, 0.5000)
Re (0.5000, 0.5000, 0.0969)
Re (0.5000, 0.5000, 0.2925)



Please write out number 11 again, unchanged.
Computed, not measured: crystalline TiInRe3 at its relaxed geometry at the GGA-PBE level of DFT.

Volume (Å³ per atom): 21.740
ρ (g/cm3): 11.02
Energy of formation from the pure elements (eV/atom): 2.7304

Unit cell a=4.7725 b=4.7725 c=4.7725 alpha=90.00 beta=90.00 gamma=90.00
Space group Pm-3m (No. 221)
One atom of each set of equivalent atoms:
Ti (0.0000, 0.0000, 0.0000)
In (0.5000, 0.5000, 0.5000)
Re (0.0000, 0.5000, 0.5000)



What is the formula in the seventh record?
Th4InRe